1.
A plane-wave DFT calculation with PBE-GGA was carried out for a geometry-optimized PaMnRhS3 structure.

**E_tot**: -88.2 eV/cell
**Raw formation energy**: -21.82 kcal/mol of atoms
**D(E_F)**: 0.265 states/eV/atom
**Magnetic moment**: 4.9 μB per formula unit
**Crystal system**: monoclinic
**Space-group type**: P2_1/m, No. 11

CIF file:
```
data_PaMnRhS3
_chemical_formula_sum 'Pa2 Mn2 Rh2 S6'
_symmetry_space_group_name_H-M 'P 1'
_symmetry_Int_Tables_number 1
_symmetry_space_group_name_Hall 'P 1'
_cell_length_a 3.700
_cell_length_b 7.054
_cell_length_c 8.375
_cell_angle_alpha 102.22
_cell_angle_beta 90.00
_cell_angle_gamma 90.00
loop_
_atom_site_label
_atom_site_type_symbol
_atom_site_fract_x
_atom_site_fract_y
_atom_site_fract_z
_atom_site_occupancy
S1 S 0.750 0.917 0.121 1
Mn1 Mn 0.250 0.669 0.177 1
S2 S 0.750 0.412 0.140 1
S3 S 0.250 0.083 0.879 1
Rh1 Rh 0.250 0.109 0.601 1
Rh2 Rh 0.750 0.891 0.399 1
S4 S 0.750 0.304 0.522 1
S5 S 0.250 0.696 0.478 1
S6 S 0.250 0.588 0.860 1
Mn2 Mn 0.750 0.331 0.823 1
Pa1 Pa 0.250 0.187 0.268 1
Pa2 Pa 0.750 0.813 0.732 1
```

---

2.
A plane-wave DFT calculation with PBE-GGA was carried out for a geometry-optimized Pa2MnRhS5 structure.

**E_tot**: -133.5 eV/cell
**Raw formation energy**: -27.12 kcal/mol of atoms
**D(E_F)**: 0.840 states/eV/atom
**Magnetic moment**: 4.9 μB per formula unit
**Crystal system**: orthorhombic
**Space-group type**: Cmc2_1, No. 36

CIF file:
```
data_Pa2MnRhS5
_chemical_formula_sum 'Pa4 Mn2 Rh2 S10'
_symmetry_space_group_name_H-M 'P 1'
_symmetry_Int_Tables_number 1
_symmetry_space_group_name_Hall 'P 1'
_cell_length_a 3.721
_cell_length_b 7.947
_cell_length_c 11.645
_cell_angle_alpha 90.00
_cell_angle_beta 90.00
_cell_angle_gamma 103.54
loop_
_atom_site_label
_atom_site_type_symbol
_atom_site_fract_x
_atom_site_fract_y
_atom_site_fract_z
_atom_site_occupancy
S1 S 0.995 0.990 0.525 1
S2 S 0.328 0.657 0.017 1
Mn1 Mn 0.165 0.330 0.044 1
S3 S 0.499 0.998 0.250 1
Rh1 Rh 0.431 0.861 0.427 1
S4 S 0.005 0.010 0.025 1
S5 S 0.687 0.374 0.179 1
Pa1 Pa 0.891 0.783 0.848 1
Rh2 Rh 0.569 0.139 0.927 1
Pa2 Pa 0.126 0.253 0.696 1
Pa3 Pa 0.109 0.217 0.348 1
S6 S 0.296 0.592 0.338 1
S7 S 0.672 0.343 0.517 1
S8 S 0.501 0.002 0.750 1
S9 S 0.313 0.626 0.679 1
Pa4 Pa 0.874 0.747 0.196 1
Mn2 Mn 0.835 0.670 0.544 1
S10 S 0.704 0.408 0.838 1
```

---

3.
A plane-wave DFT calculation with PBE-GGA was carried out for a geometry-optimized PaMnSi2Rh structure.

**E_tot**: -40.7 eV/cell
**Raw formation energy**: -17.67 kcal/mol of atoms
**D(E_F)**: 0.884 states/eV/atom
**Magnetic moment**: 0.0 μB per formula unit
**Crystal system**: tetragonal
**Space-group type**: I-4m2, No. 119

CIF file:
```
data_PaMnSi2Rh
_chemical_formula_sum 'Pa1 Mn1 Si2 Rh1'
_symmetry_space_group_name_H-M 'P 1'
_symmetry_Int_Tables_number 1
_symmetry_space_group_name_Hall 'P 1'
_cell_length_a 4.084
_cell_length_b 4.084
_cell_length_c 5.583
_cell_angle_alpha 111.45
_cell_angle_beta 111.45
_cell_angle_gamma 90.00
loop_
_atom_site_label
_atom_site_type_symbol
_atom_site_fract_x
_atom_site_fract_y
_atom_site_fract_z
_atom_site_occupancy
Rh1 Rh 0.250 0.750 0.500 1
Si1 Si 0.627 0.627 0.254 1
Pa1 Pa 0.000 0.000 0.000 1
Mn1 Mn 0.750 0.250 0.500 1
Si2 Si 0.373 0.373 0.746 1
```

---

4.
A plane-wave DFT calculation with PBE-GGA was carried out for a geometry-optimized Pa2MnSi6Rh structure.

**E_tot**: -144.4 eV/cell
**Raw formation energy**: -9.53 kcal/mol of atoms
**D(E_F)**: 1.038 states/eV/atom
**Magnetic moment**: 1.4 μB per formula unit
**Crystal system**: trigonal
**Space-group type**: R-3m, No. 166

CIF file:
```
data_Pa2MnSi6Rh
_chemical_formula_sum 'Pa4 Mn2 Si12 Rh2'
_symmetry_space_group_name_H-M 'P 1'
_symmetry_Int_Tables_number 1
_symmetry_space_group_name_Hall 'P 1'
_cell_length_a 5.799
_cell_length_b 5.799
_cell_length_c 12.047
_cell_angle_alpha 76.07
_cell_angle_beta 76.07
_cell_angle_gamma 60.00
loop_
_atom_site_label
_atom_site_type_symbol
_atom_site_fract_x
_atom_site_fract_y
_atom_site_fract_z
_atom_site_occupancy
Pa1 Pa 0.107 0.107 0.679 1
Rh1 Rh 0.575 0.575 0.275 1
Si1 Si 0.070 0.664 0.602 1
Pa2 Pa 0.709 0.709 0.872 1
Mn1 Mn 0.000 0.000 0.000 1
Si2 Si 0.336 0.930 0.398 1
Rh2 Rh 0.425 0.425 0.725 1
Si3 Si 0.930 0.336 0.398 1
Si4 Si 0.773 0.347 0.107 1
Si5 Si 0.336 0.336 0.398 1
Si6 Si 0.227 0.653 0.893 1
Si7 Si 0.653 0.227 0.893 1
Pa3 Pa 0.893 0.893 0.321 1
Pa4 Pa 0.291 0.291 0.128 1
Mn2 Mn 0.500 0.500 0.500 1
Si8 Si 0.347 0.773 0.107 1
Si9 Si 0.773 0.773 0.107 1
Si10 Si 0.227 0.227 0.893 1
Si11 Si 0.664 0.664 0.602 1
Si12 Si 0.664 0.070 0.602 1
```

---

5.
A plane-wave DFT calculation with PBE-GGA was carried out for a geometry-optimized PaMnSnRh structure.

**E_tot**: -31.1 eV/cell
**Formation energy from the elements**: -0.28 eV per atom
**D(E_F)**: 1.658 states/eV/atom
**Magnetic moment**: 2.4 μB per formula unit
**Crystal system**: cubic
**Space-group type**: F-43m, No. 216

CIF file:
```
data_PaMnSnRh
_chemical_formula_sum 'Pa1 Mn1 Sn1 Rh1'
_symmetry_space_group_name_H-M 'P 1'
_symmetry_Int_Tables_number 1
_symmetry_space_group_name_Hall 'P 1'
_cell_length_a 4.742
_cell_length_b 4.742
_cell_length_c 4.742
_cell_angle_alpha 60.00
_cell_angle_beta 60.00
_cell_angle_gamma 60.00
loop_
_atom_site_label
_atom_site_type_symbol
_atom_site_fract_x
_atom_site_fract_y
_atom_site_fract_z
_atom_site_occupancy
Rh1 Rh 0.000 0.000 0.000 1
Sn1 Sn 0.250 0.250 0.250 1
Mn1 Mn 0.500 0.500 0.500 1
Pa1 Pa 0.750 0.750 0.750 1
```

---

6.
A plane-wave DFT calculation with PBE-GGA was carried out for a geometry-optimized ZrPaMnRh structure.

**E_tot**: -35.6 eV/cell
**Formation energy from the elements**: -0.25 eV per atom
**D(E_F)**: 1.164 states/eV/atom
**Magnetic moment**: 0.5 μB per formula unit
**Crystal system**: cubic
**Space-group type**: F-43m, No. 216

CIF file:
```
data_ZrPaMnRh
_chemical_formula_sum 'Zr1 Pa1 Mn1 Rh1'
_symmetry_space_group_name_H-M 'P 1'
_symmetry_Int_Tables_number 1
_symmetry_space_group_name_Hall 'P 1'
_cell_length_a 4.713
_cell_length_b 4.713
_cell_length_c 4.713
_cell_angle_alpha 60.00
_cell_angle_beta 60.00
_cell_angle_gamma 60.00
loop_
_atom_site_label
_atom_site_type_symbol
_atom_site_fract_x
_atom_site_fract_y
_atom_site_fract_z
_atom_site_occupancy
Zr1 Zr 0.250 0.250 0.250 1
Rh1 Rh 0.000 0.000 0.000 1
Pa1 Pa 0.750 0.750 0.750 1
Mn1 Mn 0.500 0.500 0.500 1
```

---

7.
A plane-wave DFT calculation with PBE-GGA was carried out for a geometry-optimized Pa2MnRu structure.

**E_tot**: -37.8 eV/cell
**Formation energy from the elements**: -0.08 eV per atom
**D(E_F)**: 1.367 states/eV/atom
**Magnetic moment**: 0.2 μB per formula unit
**Crystal system**: tetragonal
**Space-group type**: P4/mmm, No. 123

CIF file:
```
data_Pa2MnRu
_chemical_formula_sum 'Pa2 Mn1 Ru1'
_symmetry_space_group_name_H-M 'P 1'
_symmetry_Int_Tables_number 1
_symmetry_space_group_name_Hall 'P 1'
_cell_length_a 3.438
_cell_length_b 3.438
_cell_length_c 6.511
_cell_angle_alpha 90.00
_cell_angle_beta 90.00
_cell_angle_gamma 90.00
loop_
_atom_site_label
_atom_site_type_symbol
_atom_site_fract_x
_atom_site_fract_y
_atom_site_fract_z
_atom_site_occupancy
Pa1 Pa 0.000 0.000 0.257 1
Mn1 Mn 0.500 0.500 0.500 1
Pa2 Pa 0.000 0.000 0.743 1
Ru1 Ru 0.500 0.500 0.000 1
```

---

8.
A plane-wave DFT calculation with PBE-GGA was carried out for a geometry-optimized Pa2MnSi2Ru5 structure.

**E_tot**: -181.0 eV/cell
**Raw formation energy**: -11.77 kcal/mol of atoms
**D(E_F)**: 0.677 states/eV/atom
**Magnetic moment**: 4.8 μB per formula unit
**Crystal system**: tetragonal
**Space-group type**: P4/mbm, No. 127

CIF file:
```
data_Pa2MnSi2Ru5
_chemical_formula_sum 'Pa4 Mn2 Si4 Ru10'
_symmetry_space_group_name_H-M 'P 1'
_symmetry_Int_Tables_number 1
_symmetry_space_group_name_Hall 'P 1'
_cell_length_a 3.413
_cell_length_b 9.824
_cell_length_c 9.824
_cell_angle_alpha 90.00
_cell_angle_beta 90.00
_cell_angle_gamma 90.00
loop_
_atom_site_label
_atom_site_type_symbol
_atom_site_fract_x
_atom_site_fract_y
_atom_site_fract_z
_atom_site_occupancy
Pa1 Pa 0.000 0.676 0.176 1
Si1 Si 0.000 0.123 0.623 1
Si2 Si 0.000 0.623 0.877 1
Mn1 Mn 0.000 0.000 0.000 1
Ru1 Ru 0.500 0.073 0.789 1
Ru2 Ru 0.500 0.500 0.000 1
Ru3 Ru 0.500 0.289 0.573 1
Ru4 Ru 0.500 0.000 0.500 1
Ru5 Ru 0.500 0.427 0.289 1
Ru6 Ru 0.500 0.927 0.211 1
Ru7 Ru 0.500 0.711 0.427 1
Mn2 Mn 0.000 0.500 0.500 1
Pa2 Pa 0.000 0.176 0.324 1
Ru8 Ru 0.500 0.573 0.711 1
Si3 Si 0.000 0.877 0.377 1
Ru9 Ru 0.500 0.211 0.073 1
Si4 Si 0.000 0.377 0.123 1
Pa3 Pa 0.000 0.824 0.676 1
Pa4 Pa 0.000 0.324 0.824 1
Ru10 Ru 0.500 0.789 0.927 1
```